Entry 1:
Here is a relaxed CrFe2Cu crystal from the Alexandria database. Energies are from PBE-GGA.

It has space group Cm (No. 8), with a = 8.442 Å, b = 2.511 Å, c = 4.452 Å, α = 90.00°, β = 99.08° and γ = 90.00°. The distinct sites, in fractional coordinates, are Cr at (0.000, 0.000, 0.000), Fe at (0.251, 0.500, 0.233), Fe at (0.497, 0.000, 0.498) and Cu at (0.247, 0.000, 0.733).

Entry 2:
Here is a relaxed EuIn2Ni9 crystal from the Alexandria database. Energies are from PBE-GGA.

It has space group P4/mbm (No. 127), with a = 8.285 Å, b = 8.285 Å, c = 4.894 Å, α = 90.00°, β = 90.00° and γ = 90.00°. The distinct sites, in fractional coordinates, are Eu at (0.000, 0.000, 0.000), In at (0.125, 0.375, 0.000), Ni at (0.000, 0.500, 0.500), Ni at (0.066, 0.209, 0.500) and Ni at (0.176, 0.676, 0.251).

Calculated formation enthalpy at 0 K in order - 0.2045; -0.1475 eV per atom
Calculated M_tot in order - 6.06; 8.69 μB per cell